(1)
A relaxed structure of Zn2PtCl8, computed with GGA-PBE.

## Properties
* DOS(E_F): 0.0 states/eV/cell
* calculated volume: 313.4 Å³/cell
* SG: C2/m (12)
* raw total energy: -2.89 eV per atom
* formation energy without anion corrections: -8.48 eV per formula unit

a = 6.1341 Å, b = 7.9349 Å, c = 7.9349 Å
α = 54.30°, β = 92.02°, γ = 92.02°
Fractional positions:
Zn 0.5634 0.8407 0.8407
Zn 0.4366 0.1593 0.1593
Cl 0.4088 0.3127 0.3127
Cl 0.2407 0.2898 0.8434
Cl 0.7593 0.7102 0.1566
Cl 0.2407 0.8434 0.2898
Cl 0.1822 0.8556 0.8556
Cl 0.7593 0.1566 0.7102
Cl 0.8178 0.1444 0.1444
Cl 0.5912 0.6873 0.6873
Pt 0.0000 0.0000 0.0000

***

(2)
A relaxed structure of Zr3Ta2, computed with GGA-PBE.

## Properties
* ΔH_f (0 K): 1.03 eV per formula unit
* DOS(E_F): 7.1 states/eV/cell
* calculated volume: 105.8 Å³/cell
* SG: R-3m (166)
* raw total energy: -9.66 eV per atom
* offset from the most stable computed form: 0 meV per atom

a = 12.8494 Å, b = 12.8494 Å, c = 12.8494 Å
α = 13.85°, β = 13.85°, γ = 13.85°
Fractional positions:
Zr 0.0000 0.0000 0.0000
Zr 0.2020 0.2020 0.2020
Zr 0.7980 0.7980 0.7980
Ta 0.6013 0.6013 0.6013
Ta 0.3987 0.3987 0.3987

***

(3)
A relaxed structure of Cd5InAu3, computed with GGA-PBE.

## Properties
* ΔH_f (0 K): -1.54 eV per formula unit
* DOS(E_F): 6.5 states/eV/cell
* calculated volume: 429.3 Å³/cell
* SG: C2/c (15)
* raw total energy: -2.08 eV per atom
* offset from the most stable computed form: 0 meV per atom

a = 6.6979 Å, b = 8.1970 Å, c = 8.9465 Å
α = 105.24°, β = 90.00°, γ = 114.11°
Fractional positions:
Cd 0.0642 0.6607 0.4191
Cd 0.9358 0.3393 0.5809
Cd 0.4055 0.3370 0.5889
Cd 0.5965 0.6607 0.9191
Cd 0.0686 0.6630 0.9111
Cd 0.5945 0.6630 0.4111
Cd 0.7381 0.0000 0.2500
Cd 0.2619 0.0000 0.7500
Cd 0.4035 0.3393 0.0809
Cd 0.9314 0.3370 0.0889
Au 0.6569 0.3272 0.3322
Au 0.3296 0.6728 0.1678
Au 0.3431 0.6728 0.6678
Au 0.6704 0.3272 0.8322
Au 0.0000 0.0000 0.0000
Au 0.0000 0.0000 0.5000
In 0.2547 0.0000 0.2500
In 0.7453 0.0000 0.7500